No. 1
CaPu2PaN4 | GGA-PBE | relaxed

Output
N(E_F) = 13.4 states/eV/cell
DFT total energy = -84.09 eV/f.u.
density = 11.1 Mg/m³
total magnetic moment = 10.70 μB per formula unit

Unit cell a=6.0428 b=3.5257 c=6.0792 alpha=90.00 beta=109.38 gamma=90.00
Element x y z (fractional)
Ca  0.0000  0.0000  0.0000
Pu  0.0000  0.5000  0.5000
Pu  0.5000  0.0000  0.5000
Pa  0.5000  0.5000  0.0000
N  0.2695  0.0000  0.7618
N  0.2759  0.5000  0.2575
N  0.7241  0.5000  0.7425
N  0.7305  0.0000  0.2382

---

No. 2
Ca3Pa3RuN8 | GGA-PBE | relaxed

Output
N(E_F) = 6.5 states/eV/cell
DFT total energy = -127.27 eV/f.u.
density = 7.4 Mg/m³
total magnetic moment = 1.05 μB per formula unit

Unit cell a=6.9020 b=6.9020 c=6.9020 alpha=59.77 beta=59.77 gamma=59.77
Element x y z (fractional)
Ca  0.0000  0.5000  0.5000
Ca  0.5000  0.0000  0.5000
Ca  0.5000  0.5000  0.0000
Pa  0.0000  0.0000  0.5000
Pa  0.0000  0.5000  0.0000
Pa  0.5000  0.0000  0.0000
Ru  0.5000  0.5000  0.5000
N  0.2384  0.7299  0.7299
N  0.2424  0.2424  0.2424
N  0.2701  0.2701  0.7616
N  0.2701  0.7616  0.2701
N  0.7299  0.2384  0.7299
N  0.7299  0.7299  0.2384
N  0.7576  0.7576  0.7576
N  0.7616  0.2701  0.2701